{"formula": "Be3Zn", "functional": "PBE", "state": "relaxed", "cell": [[5.357, 0.000, 0.000], [0.000, 5.357, 0.000], [0.000, 0.000, 5.357]], "species": ["Be", "Be", "Be", "Be", "Be", "Be", "Be", "Be", "Be", "Be", "Be", "Be", "Zn", "Zn", "Zn", "Zn"], "fractional_positions": [[0.000, 0.000, 0.000], [0.000, 0.500, 0.500], [0.250, 0.250, 0.250], [0.250, 0.250, 0.750], [0.250, 0.750, 0.250], [0.250, 0.750, 0.750], [0.500, 0.000, 0.500], [0.500, 0.500, 0.000], [0.750, 0.250, 0.250], [0.750, 0.250, 0.750], [0.750, 0.750, 0.250], [0.750, 0.750, 0.750], [0.000, 0.000, 0.500], [0.000, 0.500, 0.000], [0.500, 0.000, 0.000], [0.500, 0.500, 0.500]], "sg": "Fm-3m (225)", "delta_e_f_ev_per_atom": 0.25, "dft_energy_ev_per_cell": -45.88, "n_ef_per_ev_fu": 0.55}